[1]
Sn3RhS, relaxed, DFT PBE-GGA; calculated total energy = -4.001 eV per atom; total magnetization = 0.0 Bohr magnetons per cell; ΔE_f (raw) = 0.6969 eV per atom; theoretical density = 6.09 Mg/m³
1.0
5.1152 0.0000 0.0000
0.0000 5.1152 0.0000
0.0000 0.0000 5.1152
Sn Rh S
3 1 1
direct
0.0000 0.0000 0.5000 Sn
0.0000 0.5000 0.0000 Sn
0.5000 0.0000 0.0000 Sn
0.5000 0.5000 0.5000 Rh
0.0000 0.0000 0.0000 S



[2]
La6TlCd3, relaxed, DFT PBE-GGA; calculated total energy = -3.735 eV per atom; total magnetization = 0.0 Bohr magnetons per cell; energy of formation from the pure elements = -268 meV/atom; theoretical density = 7.23 Mg/m³
1.0
9.7746 0.0000 0.0000
0.0000 5.5372 0.0000
-3.6075 0.0000 11.6688
La Tl Cd
12 2 6
direct
0.0345 0.2500 0.4162 La
0.1544 0.7500 0.1776 La
0.2332 0.2500 0.9968 La
0.3404 0.7500 0.8042 La
0.3786 0.2500 0.3498 La
0.4115 0.2500 0.6195 La
0.5885 0.7500 0.3805 La
0.6214 0.7500 0.6502 La
0.6596 0.2500 0.1958 La
0.7668 0.7500 0.0032 La
0.8456 0.2500 0.8224 La
0.9655 0.7500 0.5838 La
0.4544 0.7500 0.0978 Tl
0.5456 0.2500 0.9022 Tl
0.0334 0.7500 0.8713 Cd
0.1162 0.2500 0.7139 Cd
0.2644 0.7500 0.4730 Cd
0.7356 0.2500 0.5270 Cd
0.8838 0.7500 0.2861 Cd
0.9666 0.2500 0.1287 Cd



[3]
CeHg, relaxed, DFT PBE-GGA; calculated total energy = -3.401 eV per atom; total magnetization = 1.3 Bohr magnetons per cell; energy of formation from the pure elements = -283 meV/atom; theoretical density = 10.12 Mg/m³
1.0
3.8236 0.0000 0.0000
0.0000 3.8236 0.0000
0.0000 0.0000 3.8236
Ce Hg
1 1
direct
0.0000 0.0000 0.0000 Ce
0.5000 0.5000 0.5000 Hg



[4]
Sm2AlCu, relaxed, DFT PBE-GGA; calculated total energy = -3.991 eV per atom; total magnetization = 0.0 Bohr magnetons per cell; energy of formation from the pure elements = 329 meV/atom; theoretical density = 6.17 Mg/m³
1.0
1.6833 0.9719 10.7287
-1.6833 0.9719 10.7287
0.0000 -1.9437 10.7287
Sm Al Cu
2 1 1
direct
0.0976 0.0976 0.0976 Sm
0.9024 0.9024 0.9024 Sm
0.0000 0.0000 0.0000 Al
0.5000 0.5000 0.5000 Cu



[5]
BaReRh, relaxed, DFT PBE-GGA; calculated total energy = -6.972 eV per atom; total magnetization = 0.0 Bohr magnetons per cell; energy of formation from the pure elements = 269 meV/atom; theoretical density = 8.06 Mg/m³
1.0
4.0024 0.0000 0.0000
1.9986 4.3245 0.0000
0.1139 2.1487 10.1473
Ba Re Rh
2 2 2
direct
0.0000 0.0000 0.0000 Ba
0.3816 0.2712 0.3910 Ba
0.3412 0.3333 0.7233 Re
0.7289 0.5650 0.6052 Re
0.0284 0.9628 0.6655 Rh
0.6597 0.6904 0.8345 Rh



[6]
Tb5FeBi2, relaxed, DFT PBE-GGA; calculated total energy = -4.999 eV per atom; total magnetization = 0.0 Bohr magnetons per cell; energy of formation from the pure elements = -77 meV/atom; theoretical density = 6.90 Mg/m³
1.0
2.7533 -8.1350 0.0000
2.7533 8.1350 0.0000
0.0000 0.0000 13.6246
Tb Fe Bi
10 2 4
direct
0.0529 0.9471 0.6175 Tb
0.0529 0.9471 0.8825 Tb
0.2685 0.7315 0.6065 Tb
0.2685 0.7315 0.8935 Tb
0.3120 0.6880 0.2500 Tb
0.6880 0.3120 0.7500 Tb
0.7315 0.2685 0.1065 Tb
0.7315 0.2685 0.3935 Tb
0.9471 0.0529 0.1175 Tb
0.9471 0.0529 0.3825 Tb
0.1599 0.8401 0.7500 Fe
0.8401 0.1599 0.2500 Fe
0.1445 0.8555 0.0893 Bi
0.1445 0.8555 0.4107 Bi
0.8555 0.1445 0.5893 Bi
0.8555 0.1445 0.9107 Bi



theoretical density of number 1 (Sn3RhS)?
6.09 Mg/m³